4
Lattice="4.750 0.000 0.000 0.000 4.750 0.000 0.000 0.000 3.353" Properties=species:S:1:pos:R:3 comment="MgPSe2 (PBE, optimized geometry)" spacegroup=P4/mmm crystal_system=tetragonal polymorph_energy_ev_per_atom=0.422 e_form_raw_ev_per_fu=0.0 pbc="T T T"
Mg 0.000 0.000 0.000
P 2.375 2.375 0.000
Se 0.000 2.375 1.677
Se 2.375 0.000 1.677

***

6
Lattice="0.000 4.389 4.389 4.389 0.000 4.389 4.389 4.389 0.000" Properties=species:S:1:pos:R:3 comment="PRhPb4 (PBE, optimized geometry)" spacegroup=F-43m crystal_system=cubic ef_mev_per_atom=858 pbc="T T T"
P 0.000 0.000 0.000
Rh 2.194 2.194 2.194
Pb 5.484 3.294 3.294
Pb 3.294 5.484 3.294
Pb 3.294 3.294 5.484
Pb 5.484 5.484 5.484

***

12
Lattice="6.602 0.000 0.000 0.000 3.355 0.000 -1.052 0.000 9.415" Properties=species:S:1:pos:R:3 comment="PrTmTaN3 (PBE, optimized geometry)" spacegroup=P2_1/m crystal_system=monoclinic e_form_raw_ev_per_fu=-6.6 pbc="T T T"
Pr 1.086 0.839 2.270
Pr 4.464 2.516 7.145
Tm 1.337 2.516 8.332
Tm 4.214 0.839 1.083
Ta 0.333 0.839 5.468
Ta 5.218 2.516 3.947
N -0.048 0.839 7.416
N 0.811 2.516 4.407
N 2.523 2.516 1.137
N 3.027 0.839 8.278
N 4.740 0.839 5.008
N 5.599 2.516 1.999

***

5
Lattice="5.085 0.000 0.000 0.000 5.085 0.000 0.000 0.000 5.085" Properties=species:S:1:pos:R:3 comment="BaNaW3 (PBE, optimized geometry)" spacegroup=Pm-3m crystal_system=cubic ef_mev_per_atom=3626 polymorph_energy_ev_per_atom=0.552 pbc="T T T"
Ba 0.000 0.000 0.000
Na 2.542 2.542 2.542
W 0.000 0.000 2.542
W 0.000 2.542 0.000
W 2.542 0.000 0.000

***

10
Lattice="-4.524 4.524 2.865 4.524 -4.524 2.865 4.524 4.524 -2.865" Properties=species:S:1:pos:R:3 comment="Tm5MnSe4 (PBE, optimized geometry)" spacegroup=I4 crystal_system=tetragonal e_form_raw_ev_per_fu=-12.1 pbc="T T T"
Tm 0.000 0.000 0.000
Tm 5.396 1.962 -0.288
Tm 1.962 3.652 -0.288
Tm 2.562 0.872 2.577
Tm -0.872 2.562 2.577
Mn 0.000 0.000 2.830
Se 2.776 0.832 -0.275
Se 3.692 -1.749 2.590
Se 0.832 6.273 -0.275
Se 1.749 3.692 2.590

***

16
Lattice="6.950 0.000 0.000 0.000 6.950 0.000 0.000 0.000 6.950" Properties=species:S:1:pos:R:3 comment="HfZrTaIn (PBE, optimized geometry)" spacegroup=F-43m crystal_system=cubic ef_mev_per_atom=11 pbc="T T T"
Hf 0.000 0.000 0.000
Hf 0.000 3.475 3.475
Hf 3.475 0.000 3.475
Hf 3.475 3.475 0.000
Zr 0.000 0.000 3.475
Zr 0.000 3.475 0.000
Zr 3.475 0.000 0.000
Zr 3.475 3.475 3.475
Ta 1.738 1.738 5.213
Ta 1.738 5.213 1.738
Ta 5.213 1.738 1.738
Ta 5.213 5.213 5.213
In 1.738 1.738 1.738
In 1.738 5.213 5.213
In 5.213 1.738 5.213
In 5.213 5.213 1.738